Crystalline Li2MnMo at its relaxed geometry. Source: the Alexandria database, functional GGA-PBEsol.

Calculated values
Energy relative to the elements   445.5 meV/atom
Excess energy over the best structure of this formula in the dataset   0 meV/atom

The structure in CIF format:
```
data_Li2MnMo
_chemical_formula_sum 'Li4 Mn2 Mo2'
_cell_length_a 8.5058
_cell_length_b 2.3897
_cell_length_c 5.3005
_cell_angle_alpha 90.00
_cell_angle_beta 91.10
_cell_angle_gamma 90.00
_space_group_name_H-M_alt 'C 1 m 1'
_space_group_IT_number 8
_space_group_name_Hall 'C -2y'
loop_
_atom_site_label
_atom_site_type_symbol
_atom_site_fract_x
_atom_site_fract_y
_atom_site_fract_z
Li1 Li 0.0000 0.0000 0.0000
Li2 Li 0.2502 0.0000 0.7774
Mn1 Mn 0.0074 0.5000 0.4867
Mo1 Mo 0.2478 0.5000 0.3036
```

Crystalline LiMn2Mo at its relaxed geometry. Source: the Alexandria database, functional GGA-PBEsol.

Calculated values
Energy relative to the elements   374.4 meV/atom

The structure in CIF format:
```
data_LiMn2Mo
_chemical_formula_sum 'Li1 Mn2 Mo1'
_cell_length_a 2.4493
_cell_length_b 4.0727
_cell_length_c 4.7678
_cell_angle_alpha 90.00
_cell_angle_beta 98.23
_cell_angle_gamma 90.00
_space_group_name_H-M_alt 'P 1 2/m 1'
_space_group_IT_number 10
_space_group_name_Hall '-P 2y'
loop_
_atom_site_label
_atom_site_type_symbol
_atom_site_fract_x
_atom_site_fract_y
_atom_site_fract_z
Li1 Li 0.0000 0.0000 0.0000
Mn1 Mn 0.2815 0.5000 0.7653
Mo1 Mo 0.5000 0.0000 0.5000
```

Crystalline LiMn2N3 at its relaxed geometry. Source: the Alexandria database, functional GGA-PBEsol.

Calculated values
Formation energy from raw total energies   -409 meV per atom

The structure in CIF format:
```
data_LiMn2N3
_chemical_formula_sum 'Li4 Mn8 N12'
_cell_length_a 9.2710
_cell_length_b 5.3926
_cell_length_c 4.9015
_cell_angle_alpha 90.00
_cell_angle_beta 90.00
_cell_angle_gamma 90.00
_space_group_name_H-M_alt 'C m c 21'
_space_group_IT_number 36
_space_group_name_Hall 'C 2c -2'
loop_
_atom_site_label
_atom_site_type_symbol
_atom_site_fract_x
_atom_site_fract_y
_atom_site_fract_z
Li1 Li 0.0000 0.1670 0.0000
Mn1 Mn 0.1694 0.3371 0.4881
N1 N 0.0000 0.2155 0.5607
N2 N 0.1886 0.3531 0.1219
```

Number 1: uncorrected energy -47.36 eV per cell, magnetic moment 0.0 μB per formula unit. Number 2: uncorrected energy -31.76 eV per cell, magnetic moment 0.0 μB per formula unit. Number 3: uncorrected energy -198.09 eV per cell, magnetic moment 2.2 μB per formula unit.